No. 1
Below is an optimized crystal structure of Tm5BiRh, with properties calculated at the GGA-PBE level.

POSCAR file:
```
Tm5BiRh
1.0
5.4999 -3.3844 0.0000
5.4999 3.3844 0.0000
-3.5092 0.0000 10.7173
Tm Bi Rh
10 2 2
direct
0.0355 0.9645 0.7500
0.0380 0.3968 0.6383
0.2113 0.5422 0.9577
0.3968 0.0380 0.1383
0.4578 0.7887 0.5423
0.5422 0.2113 0.4577
0.6032 0.9620 0.8617
0.7887 0.4578 0.0423
0.9620 0.6032 0.3617
0.9645 0.0355 0.2500
0.4614 0.5386 0.2500
0.5386 0.4614 0.7500
0.0000 0.0000 0.0000
0.0000 0.0000 0.5000
```

Symmetry: C2/c, No. 15
Calculated volume in Å³/atom: 28.5
Total energy in eV/atom: -5.14
Formation energy in eV per atom: -0.337

=====

No. 2
Below is an optimized crystal structure of Tm3Bi2Rh, with properties calculated at the GGA-PBE level.

POSCAR file:
```
Tm3Bi2Rh
1.0
4.1201 0.0000 0.0000
0.0000 6.1047 0.0000
0.0000 0.0000 13.3013
Tm Bi Rh
6 4 2
direct
0.0000 0.0000 0.0000
0.0000 0.0000 0.3619
0.0000 0.0000 0.6381
0.5000 0.5000 0.1381
0.5000 0.5000 0.5000
0.5000 0.5000 0.8619
0.0000 0.5000 0.3226
0.0000 0.5000 0.6774
0.5000 0.0000 0.1774
0.5000 0.0000 0.8226
0.0000 0.5000 0.0000
0.5000 0.0000 0.5000
```

Symmetry: Immm, No. 71
Calculated volume in Å³/atom: 27.9
Total energy in eV/atom: -5.37
Formation energy in eV per atom: -0.615

=====

No. 3
Below is an optimized crystal structure of Tm6Bi3Rh, with properties calculated at the GGA-PBE level.

POSCAR file:
```
Tm6Bi3Rh
1.0
5.4726 -8.0305 0.0000
5.4726 8.0305 0.0000
0.0000 0.0000 6.6455
Tm Bi Rh
12 6 2
direct
0.0154 0.9846 0.5000
0.1015 0.5782 0.0704
0.2163 0.3604 0.7295
0.2374 0.7626 0.5635
0.3604 0.2163 0.2295
0.4218 0.8985 0.0704
0.5782 0.1015 0.5704
0.6396 0.7837 0.7295
0.7626 0.2374 0.0635
0.7837 0.6396 0.2295
0.8985 0.4218 0.5704
0.9846 0.0154 0.0000
0.0818 0.2912 0.2905
0.2912 0.0818 0.7905
0.4330 0.5670 0.0587
0.5670 0.4330 0.5587
0.7088 0.9182 0.2905
0.9182 0.7088 0.7905
0.1444 0.8556 0.2304
0.8556 0.1444 0.7304
```

Symmetry: Cmc2_1, No. 36
Calculated volume in Å³/atom: 29.2
Total energy in eV/atom: -5.05
Formation energy in eV per atom: -0.465

=====

No. 4
Below is an optimized crystal structure of Tm7Bi2Rh2, with properties calculated at the GGA-PBE level.

POSCAR file:
```
Tm7Bi2Rh2
1.0
-1.8695 8.0838 4.8656
1.8695 -8.0838 4.8656
1.8695 8.0838 -4.8656
Tm Bi Rh
7 2 2
direct
0.0000 0.0000 0.0000
0.0453 0.3634 0.6819
0.0649 0.7186 0.3464
0.3722 0.7186 0.6536
0.4301 0.5637 0.8664
0.6816 0.3634 0.3181
0.6972 0.5637 0.1336
0.3261 0.3261 0.0000
0.7283 0.2283 0.5000
0.2943 0.0556 0.2387
0.8170 0.0556 0.7613
```

Symmetry: Imm2, No. 44
Calculated volume in Å³/atom: 26.7
Total energy in eV/atom: -5.54
Formation energy in eV per atom: -0.655

=====

Listing total magnetic moment for the structures above in their given order: 0.0, 0.0, 0.0, 0.0 μB per formula unit.